First-principles (GGA-PBE) data for an optimized crystal structure of TcPCl2, as listed in the Alexandria database.

The structure in CIF format:
```
data_TcPCl2
_cell_length_a 3.0836
_cell_length_b 4.7208
_cell_length_c 11.7283
_cell_angle_alpha 90.00
_cell_angle_beta 90.00
_cell_angle_gamma 90.00
_space_group_name_H-M_alt 'I m m 2'
_space_group_IT_number 44
_space_group_name_Hall 'I 2 -2'
loop_
_atom_site_label
_atom_site_type_symbol
_atom_site_fract_x
_atom_site_fract_y
_atom_site_fract_z
_atom_site_occupancy
Tc1 Tc 0.0000 0.0000 0.0000 1
P1 P 0.0000 0.5000 0.3555 1
Cl1 Cl 0.0000 0.0000 0.4847 1
Cl2 Cl 0.0000 0.5000 0.6723 1
```

Computed properties:
M_tot = 0.003 μB per cell
ΔE_f (raw) = 3.44 kcal/mol of atoms
distance to the lowest polymorph of the same formula = 0.594 eV/atom